(1)
DFT (PBE) results for SmTlCd2 after structural relaxation.

Distance to the lowest polymorph of the same formula (eV/atom): 0.051
Space group: Cmcm (63)
Total moment (μB per formula unit): 0.00
Formation energy from the elements (eV/atom): -0.23
Density (Mg/m³): 9.37

Cell lengths 4.904, 11.309, 7.409 Å; angles 90.00, 90.00, 90.00 degrees
Fractional positions:
Sm: 0.000 0.091 0.250
Sm: 0.000 0.909 0.750
Sm: 0.500 0.409 0.750
Sm: 0.500 0.591 0.250
Tl: 0.000 0.201 0.750
Tl: 0.000 0.799 0.250
Tl: 0.500 0.299 0.250
Tl: 0.500 0.701 0.750
Cd: 0.000 0.381 0.050
Cd: 0.000 0.381 0.450
Cd: 0.000 0.619 0.550
Cd: 0.000 0.619 0.950
Cd: 0.500 0.119 0.550
Cd: 0.500 0.119 0.950
Cd: 0.500 0.881 0.050
Cd: 0.500 0.881 0.450



(2)
DFT (PBE) results for Sm6TlCd3 after structural relaxation.

Space group: P2_1/m (11)
Total moment (μB per formula unit): 0.00
Formation energy from the elements (eV/atom): -0.23
Density (Mg/m³): 8.27

Cell lengths 9.485, 5.386, 11.902 Å; angles 90.00, 107.48, 90.00 degrees
Fractional positions:
Sm: 0.039 0.250 0.413
Sm: 0.157 0.750 0.175
Sm: 0.239 0.250 0.997
Sm: 0.336 0.750 0.801
Sm: 0.369 0.250 0.341
Sm: 0.405 0.250 0.623
Sm: 0.595 0.750 0.377
Sm: 0.631 0.750 0.659
Sm: 0.664 0.250 0.199
Sm: 0.761 0.750 0.003
Sm: 0.843 0.250 0.825
Sm: 0.961 0.750 0.587
Tl: 0.455 0.750 0.096
Tl: 0.545 0.250 0.904
Cd: 0.029 0.750 0.873
Cd: 0.111 0.250 0.713
Cd: 0.271 0.750 0.474
Cd: 0.729 0.250 0.526
Cd: 0.889 0.750 0.287
Cd: 0.971 0.250 0.127



(3)
DFT (PBE) results for Sm3Tl4Cd after structural relaxation.

Space group: Immm (71)
Total moment (μB per formula unit): 0.00
Formation energy from the elements (eV/atom): -0.20
Density (Mg/m³): 9.72

Cell lengths 3.603, 9.780, 13.390 Å; angles 90.00, 90.00, 90.00 degrees
Fractional positions:
Sm: 0.000 0.000 0.000
Sm: 0.000 0.500 0.216
Sm: 0.000 0.500 0.784
Sm: 0.500 0.000 0.284
Sm: 0.500 0.000 0.716
Sm: 0.500 0.500 0.500
Tl: 0.000 0.261 0.374
Tl: 0.000 0.261 0.626
Tl: 0.000 0.739 0.374
Tl: 0.000 0.739 0.626
Tl: 0.500 0.239 0.126
Tl: 0.500 0.239 0.874
Tl: 0.500 0.761 0.126
Tl: 0.500 0.761 0.874
Cd: 0.000 0.000 0.500
Cd: 0.500 0.500 0.000



(4)
DFT (PBE) results for Sm4Tl5Cd after structural relaxation.

Distance to the lowest polymorph of the same formula (eV/atom): 0.272
Space group: Pmmn (59)
Total moment (μB per formula unit): 0.00
Formation energy from the elements (eV/atom): -0.05
Density (Mg/m³): 9.24

Cell lengths 7.887, 10.479, 7.545 Å; angles 90.00, 90.00, 90.00 degrees
Fractional positions:
Sm: 0.008 0.250 0.206
Sm: 0.250 0.560 0.467
Sm: 0.250 0.940 0.467
Sm: 0.492 0.250 0.206
Sm: 0.508 0.750 0.794
Sm: 0.750 0.060 0.533
Sm: 0.750 0.440 0.533
Sm: 0.992 0.750 0.794
Tl: 0.058 0.058 0.819
Tl: 0.058 0.442 0.819
Tl: 0.250 0.750 0.107
Tl: 0.442 0.058 0.819
Tl: 0.442 0.442 0.819
Tl: 0.558 0.558 0.181
Tl: 0.558 0.942 0.181
Tl: 0.750 0.250 0.893
Tl: 0.942 0.558 0.181
Tl: 0.942 0.942 0.181
Cd: 0.250 0.250 0.554
Cd: 0.750 0.750 0.446



(5)
DFT (PBE) results for Sm6TlCd after structural relaxation.

Distance to the lowest polymorph of the same formula (eV/atom): 0.013
Space group: P4/mmm (123)
Total moment (μB per formula unit): 1.57
Formation energy from the elements (eV/atom): -0.15
Density (Mg/m³): 8.41

Cell lengths 4.941, 4.941, 9.857 Å; angles 90.00, 90.00, 90.00 degrees
Fractional positions:
Sm: 0.000 0.000 0.000
Sm: 0.000 0.000 0.500
Sm: 0.000 0.500 0.249
Sm: 0.000 0.500 0.751
Sm: 0.500 0.000 0.249
Sm: 0.500 0.000 0.751
Tl: 0.500 0.500 0.500
Cd: 0.500 0.500 0.000



(6)
DFT (PBE) results for Sm4Tl2Cd after structural relaxation.

Distance to the lowest polymorph of the same formula (eV/atom): 0.085
Space group: P2_1/m (11)
Total moment (μB per formula unit): 0.00
Formation energy from the elements (eV/atom): -0.15
Density (Mg/m³): 8.62

Cell lengths 7.460, 6.707, 9.237 Å; angles 90.00, 110.71, 90.00 degrees
Fractional positions:
Sm: 0.079 0.250 0.049
Sm: 0.166 0.006 0.724
Sm: 0.166 0.494 0.724
Sm: 0.322 0.750 0.343
Sm: 0.678 0.250 0.657
Sm: 0.834 0.506 0.276
Sm: 0.834 0.994 0.276
Sm: 0.921 0.750 0.951
Tl: 0.217 0.250 0.439
Tl: 0.436 0.750 0.039
Tl: 0.564 0.250 0.961
Tl: 0.783 0.750 0.561
Cd: 0.497 0.250 0.287
Cd: 0.503 0.750 0.713



Q: Look up the total moment of the second one.
A: 0.00 μB per formula unit